Entry 1:
DFT (PBE-GGA) results for crystalline Re2TePb at its relaxed geometry.

Properties
magnetization = 0.0 μB/f.u.
energy relative to the lowest polymorph listed for this composition = 61 meV/atom
volume = 25.214 A^3/atom
uncorrected formation energy = 2.03 eV per formula unit

The structure in POSCAR format:
```
Re2TePb
1.0
2.100 1.212 6.604
-2.100 1.212 6.604
0.000 -2.424 6.604
Re Te Pb
2 1 1
direct
0.000 0.000 0.000
0.310 0.310 0.310
0.569 0.569 0.569
0.764 0.764 0.764
```

Entry 2:
DFT (PBE-GGA) results for crystalline Re2TePb at its relaxed geometry.

Properties
magnetization = 0.0 μB/f.u.
energy relative to the lowest polymorph listed for this composition = 585 meV/atom
volume = 19.105 A^3/atom
uncorrected formation energy = 4.12 eV per formula unit

The structure in POSCAR format:
```
Re2TePb
1.0
1.589 0.917 8.737
-1.589 0.917 8.737
0.000 -1.835 8.737
Re Te Pb
2 1 1
direct
0.243 0.243 0.243
0.757 0.757 0.757
0.500 0.500 0.500
0.000 0.000 0.000
```

Entry 3:
DFT (PBE-GGA) results for crystalline ReTe4Pb at its relaxed geometry.

Properties
magnetization = 4.6 μB/f.u.
volume = 30.055 A^3/atom
uncorrected formation energy = 7.08 eV per formula unit

The structure in POSCAR format:
```
ReTe4Pb
1.0
0.000 4.484 4.484
4.484 0.000 4.484
4.484 4.484 0.000
Re Te Pb
1 4 1
direct
0.000 0.000 0.000
0.123 0.626 0.626
0.626 0.123 0.626
0.626 0.626 0.123
0.626 0.626 0.626
0.250 0.250 0.250
```

Entry 4:
DFT (PBE-GGA) results for crystalline ReTe2Pb at its relaxed geometry.

Properties
magnetization = 0.0 μB/f.u.
volume = 26.807 A^3/atom
uncorrected formation energy = 1.70 eV per formula unit

The structure in POSCAR format:
```
ReTe2Pb
1.0
3.694 -2.136 0.000
3.694 2.136 0.000
-2.473 0.000 6.796
Re Te Pb
1 2 1
direct
0.000 0.000 0.000
0.274 0.274 0.821
0.726 0.726 0.179
0.500 0.500 0.500
```

Entry 5:
DFT (PBE-GGA) results for crystalline ReTe2Pb at its relaxed geometry.

Properties
magnetization = 0.0 μB/f.u.
volume = 26.524 A^3/atom
uncorrected formation energy = 1.71 eV per formula unit

The structure in POSCAR format:
```
ReTe2Pb
1.0
-1.666 2.240 7.109
1.666 -2.240 7.109
1.666 2.240 -7.109
Re Te Pb
1 2 1
direct
0.000 0.000 0.000
0.148 0.648 0.500
0.456 0.456 0.000
0.798 0.298 0.500
```

Entry 6:
DFT (PBE-GGA) results for crystalline ReTePb2 at its relaxed geometry.

Properties
magnetization = 0.0 μB/f.u.
volume = 26.044 A^3/atom
uncorrected formation energy = 2.64 eV per formula unit

The structure in POSCAR format:
```
ReTePb2
1.0
1.608 0.928 11.634
-1.608 0.928 11.634
0.000 -1.856 11.634
Re Te Pb
1 1 2
direct
0.000 0.000 0.000
0.500 0.500 0.500
0.268 0.268 0.268
0.732 0.732 0.732
```

Entry 7:
DFT (PBE-GGA) results for crystalline ReTePb2 at its relaxed geometry.

Properties
magnetization = 2.4 μB/f.u.
volume = 25.586 A^3/atom
uncorrected formation energy = 4.11 eV per formula unit

The structure in POSCAR format:
```
ReTePb2
1.0
4.342 0.000 0.000
0.000 4.342 0.000
0.000 0.000 5.429
Re Te Pb
1 1 2
direct
0.000 0.000 0.000
0.500 0.500 0.000
0.000 0.500 0.500
0.500 0.000 0.500
```

Entry 8:
DFT (PBE-GGA) results for crystalline ReTe2Pb at its relaxed geometry.

Properties
magnetization = 0.0 μB/f.u.
volume = 25.143 A^3/atom
uncorrected formation energy = 1.44 eV per formula unit

The structure in POSCAR format:
```
ReTe2Pb
1.0
3.265 0.000 0.000
0.000 3.265 0.000
0.000 0.000 9.432
Re Te Pb
1 2 1
direct
0.000 0.000 0.000
0.500 0.500 0.178
0.500 0.500 0.822
0.000 0.000 0.500
```

Entry 9:
DFT (PBE-GGA) results for crystalline ReTePb2 at its relaxed geometry.

Properties
magnetization = 0.0 μB/f.u.
volume = 27.011 A^3/atom
uncorrected formation energy = 2.12 eV per formula unit

The structure in POSCAR format:
```
ReTePb2
1.0
3.823 0.000 0.000
0.000 3.475 0.000
-1.906 0.000 8.133
Re Te Pb
1 1 2
direct
0.000 0.000 0.000
0.880 0.500 0.758
0.209 0.000 0.415
0.575 0.500 0.150
```

Entry 10:
DFT (PBE-GGA) results for crystalline Re2TePb at its relaxed geometry.

Properties
magnetization = 0.0 μB/f.u.
energy relative to the lowest polymorph listed for this composition = 0 meV/atom
volume = 21.847 A^3/atom
uncorrected formation energy = 1.78 eV per formula unit

The structure in POSCAR format:
```
Re2TePb
1.0
3.061 0.000 0.000
0.000 3.061 0.000
0.000 0.000 9.327
Re Te Pb
2 1 1
direct
0.000 0.000 0.000
0.500 0.500 0.172
0.000 0.000 0.369
0.500 0.500 0.757
```

Entry 11:
DFT (PBE-GGA) results for crystalline ReTe2Pb at its relaxed geometry.

Properties
magnetization = 0.0 μB/f.u.
volume = 23.442 A^3/atom
uncorrected formation energy = 3.99 eV per formula unit

The structure in POSCAR format:
```
ReTe2Pb
1.0
-2.332 2.332 4.310
2.332 -2.332 4.310
2.332 2.332 -4.310
Re Te Pb
1 2 1
direct
0.000 0.000 0.000
0.250 0.750 0.500
0.500 0.500 0.000
0.750 0.250 0.500
```

Entry 12:
DFT (PBE-GGA) results for crystalline ReTe2Pb at its relaxed geometry.

Properties
magnetization = 0.0 μB/f.u.
volume = 30.638 A^3/atom
uncorrected formation energy = 1.51 eV per formula unit

The structure in POSCAR format:
```
ReTe2Pb
1.0
4.805 0.000 0.000
0.000 4.133 0.000
-2.392 0.000 6.171
Re Te Pb
1 2 1
direct
0.000 0.000 0.000
0.126 0.500 0.250
0.412 0.000 0.823
0.816 0.500 0.631
```

- Which of these has the lowest uncorrected formation energy?
  number 8